# 1
As2I2F | PBE-GGA | optimized geometry

a b c (Å): 5.8536 5.8536 5.5586
angles (deg): 58.23 58.23 90.00
Element x y z (fractional)
1 I 0.7500 0.2500 0.5000
2 I 0.2500 0.7500 0.5000
3 As 0.3229 0.3229 0.3541
4 As 0.6771 0.6771 0.6459
5 F 0.0000 0.0000 0.0000

Results
The calculation puts the formation energy without anion corrections at -0.20 eV/atom.

=====

# 2
As3IF | PBE-GGA | optimized geometry

a b c (Å): 5.3922 5.3922 5.3922
angles (deg): 90.00 90.00 90.00
Element x y z (fractional)
1 I 0.0000 0.0000 0.0000
2 As 0.0000 0.5000 0.0000
3 As 0.0000 0.0000 0.5000
4 As 0.5000 0.0000 0.0000
5 F 0.5000 0.5000 0.5000

Results
The calculation puts the formation energy without anion corrections at 1.18 eV/atom.

=====

# 3
AsI2F | PBE-GGA | optimized geometry

a b c (Å): 7.9465 6.2941 7.9293
angles (deg): 111.78 149.29 88.37
Element x y z (fractional)
1 As 0.4674 0.2990 0.9667
2 I 0.8923 0.1656 0.1129
3 I 0.8432 0.3974 0.6204
4 F 0.7971 0.6740 0.2999

Results
The calculation puts the formation energy without anion corrections at -0.79 eV/atom.

=====

# 4
AsI2F6 | PBE-GGA | optimized geometry

a b c (Å): 9.1493 9.1493 6.7492
angles (deg): 81.28 81.28 94.65
Element x y z (fractional)
1 As 0.4461 0.4461 0.3559
2 As 0.5539 0.5539 0.6441
3 I 0.9352 0.2689 0.8575
4 I 0.2689 0.9352 0.8575
5 I 0.0648 0.7311 0.1425
6 I 0.7311 0.0648 0.1425
7 F 0.6164 0.3802 0.7193
8 F 0.0974 0.4319 0.8365
9 F 0.3180 0.3180 0.5289
10 F 0.4319 0.0974 0.8365
11 F 0.3818 0.3818 0.1520
12 F 0.3802 0.6164 0.7193
13 F 0.9026 0.5681 0.1635
14 F 0.5681 0.9026 0.1635
15 F 0.6198 0.3836 0.2807
16 F 0.6182 0.6182 0.8480
17 F 0.6820 0.6820 0.4711
18 F 0.3836 0.6198 0.2807

Results
The calculation puts the formation energy without anion corrections at -1.36 eV/atom.

=====

Which value of formation energy without anion corrections does entry 4 give? -1.36 eV/atom